# LaU2RuC4

An optimized crystal structure of LaU2RuC4 (GGA-PBE, the Alexandria database).

abc: 3.594 6.129 11.906
angles: 90.00 90.00 107.05
Element x y z (fractional)
C  0.252  0.504  0.393
C  0.748  0.496  0.893
C  0.573  0.145  0.250
C  0.252  0.504  0.107
C  0.000  0.000  0.500
C  0.748  0.496  0.607
C  0.427  0.855  0.750
C  0.000  0.000  0.000
Ru  0.163  0.327  0.250
Ru  0.837  0.673  0.750
U  0.630  0.260  0.048
U  0.630  0.260  0.452
U  0.370  0.740  0.952
U  0.370  0.740  0.548
La  0.098  0.195  0.750
La  0.902  0.805  0.250

## Properties
The crystal system is orthorhombic. For the density of states at the Fermi level, the calculation gives 1.0395 states/eV per atom. The final energy comes out at -9.27 eV per atom. The formation energy comes out at -0.057 eV per atom.